# 1
Here is a relaxed structure of Pm6Pr3Er2Tm from Alexandria via LeMat-Bulk. Energies are from PBE-GGA.

Cell lengths 6.297, 6.297, 12.001 Å; angles 95.02, 95.02, 120.01 degrees
Sites, in units of the cell vectors:
1 Pm 0.585 0.918 0.756
2 Pm 0.415 0.082 0.244
3 Pm 0.748 0.748 0.244
4 Pm 0.918 0.585 0.756
5 Pm 0.252 0.252 0.756
6 Pm 0.082 0.415 0.244
7 Er 0.333 0.667 0.000
8 Er 0.667 0.333 0.000
9 Pr 0.167 0.833 0.500
10 Pr 0.500 0.500 0.500
11 Pr 0.833 0.167 0.500
12 Tm 0.000 0.000 0.000

Results
Energy in eV/atom: -4.684
Symmetry: No. 12

=====

# 2
Here is a relaxed structure of Pm2PrEr3Tm6 from Alexandria via LeMat-Bulk. Energies are from PBE-GGA.

Cell lengths 6.136, 6.136, 11.674 Å; angles 95.02, 95.02, 119.95 degrees
Sites, in units of the cell vectors:
1 Tm 0.752 0.752 0.254
2 Tm 0.086 0.419 0.254
3 Tm 0.581 0.914 0.746
4 Tm 0.419 0.086 0.254
5 Tm 0.248 0.248 0.746
6 Tm 0.914 0.581 0.746
7 Er 0.500 0.500 0.500
8 Er 0.167 0.833 0.500
9 Er 0.833 0.167 0.500
10 Pm 0.333 0.667 0.000
11 Pm 0.667 0.333 0.000
12 Pr 0.000 0.000 0.000

Results
Energy in eV/atom: -4.541
Symmetry: No. 12

=====

# 3
Here is a relaxed structure of Pm2PrErTm5 from Alexandria via LeMat-Bulk. Energies are from PBE-GGA.

Cell lengths 8.722, 8.722, 9.781 Å; angles 116.48, 116.48, 90.00 degrees
Sites, in units of the cell vectors:
1 Pm 0.384 0.884 0.000
2 Pm 0.884 0.616 0.000
3 Pm 0.116 0.384 0.000
4 Pm 0.616 0.116 0.000
5 Tm 0.073 0.573 0.727
6 Tm 0.427 0.346 0.273
7 Tm 0.500 0.500 0.000
8 Tm 0.346 0.846 0.273
9 Tm 0.846 0.927 0.273
10 Tm 0.573 0.654 0.727
11 Tm 0.654 0.154 0.727
12 Tm 0.154 0.073 0.727
13 Tm 0.927 0.427 0.273
14 Tm 0.000 0.000 0.000
15 Er 0.250 0.750 0.500
16 Er 0.750 0.250 0.500
17 Pr 0.250 0.250 0.500
18 Pr 0.750 0.750 0.500

Results
Energy in eV/atom: -4.311
Symmetry: No. 140